VZnTeN2 | PBE-GGA | optimized geometry

The calculation puts the energy above the most stable polymorph in this dataset at 0 meV/atom. Its formation energy (no corrections) is 314 meV per atom. Its space-group type is No. 123.

a b c (Å): 3.8011 3.8011 5.6745
angles (deg): 90.00 90.00 90.00
With the nearest neighbours (Å) after each atom.
Positions (direct):
1 V 0.0000 0.0000 0.0000  4 N 1.90
2 Zn 0.5000 0.5000 0.5000  4 Te 2.69
3 Te 0.0000 0.0000 0.5000  4 Zn 2.69, 2 V 2.84
4 N 0.0000 0.5000 0.0000  2 V 1.90
5 N 0.5000 0.0000 0.0000  2 V 1.90



VZnTeN2 | PBE-GGA | optimized geometry

The calculation puts the energy above the most stable polymorph in this dataset at 1354 meV/atom. Its formation energy (no corrections) is 1668 meV per atom. Its space-group type is No. 123.

a b c (Å): 3.8588 3.8588 5.5840
angles (deg): 90.00 90.00 90.00
With the nearest neighbours (Å) after each atom.
Positions (direct):
1 V 0.0000 0.0000 0.0000  4 Te 2.73
2 Zn 0.5000 0.5000 0.5000  4 N 1.93
3 Te 0.5000 0.5000 0.0000  4 V 2.73, 2 Zn 2.79
4 N 0.0000 0.5000 0.5000  2 Zn 1.93
5 N 0.5000 0.0000 0.5000  2 Zn 1.93



VZnTe2N | PBE-GGA | optimized geometry

The calculation puts the energy above the most stable polymorph in this dataset at 0 meV/atom. Its formation energy (no corrections) is 131 meV per atom. Its space-group type is No. 123.

a b c (Å): 5.4261 5.4261 3.6190
angles (deg): 90.00 90.00 90.00
With the nearest neighbours (Å) after each atom.
Positions (direct):
1 V 0.0000 0.0000 0.0000  2 N 1.81
2 Zn 0.5000 0.5000 0.5000  8 Te 3.26, 2 Zn 3.62
3 Te 0.0000 0.5000 0.0000  2 V 2.71
4 Te 0.5000 0.0000 0.0000  2 V 2.71
5 N 0.0000 0.0000 0.5000  2 V 1.81



VZnTe2N | PBE-GGA | optimized geometry

The calculation puts the energy above the most stable polymorph in this dataset at 781 meV/atom. Its formation energy (no corrections) is 911 meV per atom. Its space-group type is No. 123.

a b c (Å): 5.4948 5.4948 3.5944
angles (deg): 90.00 90.00 90.00
With the nearest neighbours (Å) after each atom.
Positions (direct):
1 V 0.0000 0.0000 0.0000  8 Te 3.28, 2 V 3.59
2 Zn 0.5000 0.5000 0.5000  2 N 1.80
3 Te 0.0000 0.5000 0.5000  2 Zn 2.75
4 Te 0.5000 0.0000 0.5000  2 Zn 2.75
5 N 0.5000 0.5000 0.0000  2 Zn 1.80



ZrVTeN2 | PBE-GGA | optimized geometry

The calculation puts the energy above the most stable polymorph in this dataset at 457 meV/atom. Its formation energy (no corrections) is 723 meV per atom. Its space-group type is No. 123.

a b c (Å): 4.1261 4.1261 5.9875
angles (deg): 90.00 90.00 90.00
With the nearest neighbours (Å) after each atom.
Positions (direct):
1 Zr 0.0000 0.0000 0.0000  4 N 2.06
2 V 0.5000 0.5000 0.5000  4 Te 2.92
3 Te 0.0000 0.0000 0.5000  4 V 2.92, 2 Zr 2.99
4 N 0.0000 0.5000 0.0000  2 Zr 2.06
5 N 0.5000 0.0000 0.0000  2 Zr 2.06



ZrVTe2N | PBE-GGA | optimized geometry

The calculation puts the energy above the most stable polymorph in this dataset at 391 meV/atom. Its formation energy (no corrections) is 304 meV per atom. Its space-group type is No. 123.

a b c (Å): 5.7413 5.7413 3.9776
angles (deg): 90.00 90.00 90.00
With the nearest neighbours (Å) after each atom.
Positions (direct):
1 Zr 0.0000 0.0000 0.0000  2 N 1.99
2 V 0.5000 0.5000 0.5000  8 Te 3.49
3 Te 0.0000 0.5000 0.0000  2 Zr 2.87
4 Te 0.5000 0.0000 0.0000  2 Zr 2.87
5 N 0.0000 0.0000 0.5000  2 Zr 1.99



ZrV2TeN | PBE-GGA | optimized geometry

Its formation energy (no corrections) is -468 meV per atom. Its space-group type is No. 123.

a b c (Å): 4.0577 4.0577 4.5689
angles (deg): 90.00 90.00 90.00
With the nearest neighbours (Å) after each atom.
Positions (direct):
1 Zr 0.0000 0.0000 0.0000  2 N 2.28
2 V 0.0000 0.5000 0.5000  2 N 2.03
3 V 0.5000 0.0000 0.5000  2 N 2.03
4 Te 0.5000 0.5000 0.0000  4 Zr 2.87, 8 V 3.06
5 N 0.0000 0.0000 0.5000  4 V 2.03



ZrVTe2N | PBE-GGA | optimized geometry

The calculation puts the energy above the most stable polymorph in this dataset at 0 meV/atom. Its formation energy (no corrections) is -87 meV per atom. Its space-group type is No. 123.

a b c (Å): 5.3767 5.3767 3.6431
angles (deg): 90.00 90.00 90.00
With the nearest neighbours (Å) after each atom.
Positions (direct):
1 Zr 0.0000 0.0000 0.0000  8 Te 3.25
2 V 0.5000 0.5000 0.5000  2 N 1.82
3 Te 0.0000 0.5000 0.5000  2 V 2.69
4 Te 0.5000 0.0000 0.5000  2 V 2.69
5 N 0.5000 0.5000 0.0000  2 V 1.82



Raw total energy per entry: -5.72 -4.37 -4.87 -4.09 -6.77 -6.15 -8.12 -6.54 eV per atom
Magnetic moment per entry: 0.450 0.577 0.542 3.878 0.117 3.144 0.000 0.346 μB per formula unit